Record 1
Here is LiPSe after structural relaxation from the Alexandria database. Energies are from PBE.

energy relative to the elements, uncorrected	-0.556	eV per atom
V	143.4	Å³/cell
space-group type	C2
offset from the most stable computed form	2	meV per atom

abc: 6.1470 6.1470 8.0444
angles: 120.11 120.11 33.63
Last column: nearest neighbours and their distance in Å.
Fractional coordinates of all 6 atoms:
Li (0.0000, 0.0000, 0.0000)  4 Se 2.66
Li (0.9974, 0.0026, 0.5000)  4 Se 2.70-2.71, 2 P 2.87
P (0.4075, 0.1314, 0.6014)  1 Se 2.29, 2 P 2.29
P (0.8686, 0.5925, 0.3986)  1 Se 2.29, 2 P 2.29
Se (0.4913, 0.4922, 0.7476)  1 P 2.29
Se (0.5078, 0.5087, 0.2524)  1 P 2.29

Record 2
Here is LaTa2Mn after structural relaxation from the Alexandria database. Energies are from PBE.

energy relative to the elements	1.1250	eV per atom
V	216.7	Å³/cell
space-group type	I4_1/amd
offset from the most stable computed form	867	meV per atom

abc: 9.2636 9.2636 9.2636
angles: 148.47 148.47 45.19
Last column: nearest neighbours and their distance in Å.
Fractional coordinates of all 8 atoms:
La (0.3750, 0.6250, 0.7500)  8 Ta 3.53, 4 Mn 3.56
La (0.6250, 0.3750, 0.2500)  8 Ta 3.53, 4 Mn 3.56
Ta (0.0000, 0.0000, 0.0000)  2 Mn 2.48, 2 Ta 2.52
Ta (0.0000, 0.0000, 0.5000)  2 Mn 2.48, 2 Ta 2.52
Ta (0.0000, 0.5000, 0.0000)  2 Mn 2.48, 2 Ta 2.52
Ta (0.5000, 0.0000, 0.5000)  2 Mn 2.48, 2 Ta 2.52
Mn (0.1250, 0.8750, 0.2500)  4 Ta 2.48
Mn (0.8750, 0.1250, 0.7500)  4 Ta 2.48

Record 3
Here is DyPu2Ga after structural relaxation from the Alexandria database. Energies are from PBE.

energy relative to the elements	-0.1686	eV per atom
V	97.2	Å³/cell
space-group type	P4/mmm
offset from the most stable computed form	0	meV per atom

abc: 4.4042 4.4042 5.0136
angles: 90.00 90.00 90.00
Last column: nearest neighbours and their distance in Å.
Fractional coordinates of all 4 atoms:
Dy (0.0000, 0.0000, 0.0000)  4 Ga 3.11, 8 Pu 3.34
Pu (0.0000, 0.5000, 0.5000)  4 Pu 3.11, 4 Dy 3.34, 4 Ga 3.34
Pu (0.5000, 0.0000, 0.5000)  4 Pu 3.11, 4 Dy 3.34, 4 Ga 3.34
Ga (0.5000, 0.5000, 0.0000)  4 Dy 3.11, 8 Pu 3.34

Record 4
Here is CePuAu after structural relaxation from the Alexandria database. Energies are from PBE.

energy relative to the elements	-0.1445	eV per atom
V	74.6	Å³/cell
space-group type	Cm
offset from the most stable computed form	181	meV per atom

abc: 4.7462 4.7462 5.5010
angles: 116.91 116.91 43.62
Last column: nearest neighbours and their distance in Å.
Fractional coordinates of all 3 atoms:
Ce (0.0000, 0.0000, 0.0000)  3 Pu 2.85-2.96, 1 Au 3.12
Pu (0.2116, 0.2116, 0.7168)  3 Ce 2.85-2.96, 3 Au 3.00
Au (0.4022, 0.4022, 0.3904)  4 Pu 3.00-3.24, 3 Ce 3.12-3.20

Record 5
Here is Ca2Sn2Au7 after structural relaxation from the Alexandria database. Energies are from PBE.

energy relative to the elements	-0.4503	eV per atom
V	239.8	Å³/cell
space-group type	C2/m

abc: 7.0411 7.0411 5.5444
angles: 110.67 110.67 86.98
Last column: nearest neighbours and their distance in Å.
Fractional coordinates of all 11 atoms:
Ca (0.1985, 0.8015, 0.0000)  10 Au 3.04-3.37
Ca (0.8015, 0.1985, 0.0000)  10 Au 3.04-3.37
Sn (0.3663, 0.3663, 0.6141)  4 Au 2.83-2.93
Sn (0.6337, 0.6337, 0.3859)  4 Au 2.83-2.93
Au (0.0000, 0.0000, 0.5000)  6 Au 2.80-2.90
Au (0.0787, 0.5889, 0.3412)  5 Au 2.80-3.00, 1 Sn 2.83, 2 Ca 3.04-3.13
Au (0.2700, 0.2700, 0.0326)  2 Sn 2.88-2.93, 5 Au 2.89-2.99
Au (0.4111, 0.9213, 0.6588)  5 Au 2.80-3.00, 1 Sn 2.83, 2 Ca 3.04-3.13
Au (0.5889, 0.0787, 0.3412)  5 Au 2.80-3.00, 1 Sn 2.83, 2 Ca 3.04-3.13
Au (0.7300, 0.7300, 0.9674)  2 Sn 2.88-2.93, 5 Au 2.89-2.99
Au (0.9213, 0.4111, 0.6588)  5 Au 2.80-3.00, 1 Sn 2.83, 2 Ca 3.04-3.13

Record 6
Here is Nd8Tl3Te2 after structural relaxation from the Alexandria database. Energies are from PBE.

energy relative to the elements, uncorrected	-0.433	eV per atom
V	438.9	Å³/cell
space-group type	C2/m

abc: 8.8401 8.8401 6.2956
angles: 90.37 90.37 63.15
Last column: nearest neighbours and their distance in Å.
Fractional coordinates of all 13 atoms:
Nd (0.0744, 0.6768, 0.3783)  2 Te 3.19-3.22, 2 Tl 3.20-3.44
Nd (0.0941, 0.0941, 0.1331)  1 Te 3.19, 2 Tl 3.27, 1 Nd 3.28
Nd (0.3232, 0.9256, 0.6217)  2 Te 3.19-3.22, 2 Tl 3.20-3.44
Nd (0.3271, 0.3271, 0.8975)  2 Te 3.20-3.30, 2 Tl 3.23
Nd (0.6729, 0.6729, 0.1025)  2 Te 3.20-3.30, 2 Tl 3.23
Nd (0.6768, 0.0744, 0.3783)  2 Te 3.19-3.22, 2 Tl 3.20-3.44
Nd (0.9059, 0.9059, 0.8669)  1 Te 3.19, 2 Tl 3.27, 1 Nd 3.28
Nd (0.9256, 0.3232, 0.6217)  2 Te 3.19-3.22, 2 Tl 3.20-3.44
Tl (0.3058, 0.6942, 0.0000)  6 Nd 3.20-3.27
Tl (0.5000, 0.5000, 0.5000)  6 Nd 3.44-3.63, 2 Te 3.45, 4 Tl 3.63
Tl (0.6942, 0.3058, 0.0000)  6 Nd 3.20-3.27
Te (0.2739, 0.2739, 0.4046)  7 Nd 3.19-3.30, 1 Tl 3.45
Te (0.7261, 0.7261, 0.5954)  7 Nd 3.19-3.30, 1 Tl 3.45

Question: Among the records above, which one has the lowest V?
Answer: CePuAu